# 1
DFT (PBE-GGA) results for a relaxed structure of ScCoSbOs.

The structure in CIF format:
```
data_ScCoSbOs
_chemical_formula_sum 'Sc4 Co4 Sb4 Os4'
_cell_length_a 6.3391
_cell_length_b 6.3391
_cell_length_c 6.3391
_cell_angle_alpha 90.00
_cell_angle_beta 90.00
_cell_angle_gamma 90.00
_space_group_name_H-M_alt 'F -4 3 m'
_space_group_IT_number 216
_space_group_name_Hall 'F -4 2 3'
loop_
_atom_site_label
_atom_site_type_symbol
_atom_site_fract_x
_atom_site_fract_y
_atom_site_fract_z
_atom_site_occupancy
Sc1 Sc 0.0000 0.0000 0.0000 1
Co1 Co 0.2500 0.2500 0.7500 1
Sb1 Sb 0.0000 0.0000 0.5000 1
Os1 Os 0.2500 0.2500 0.2500 1
```

=====

# 2
DFT (PBE-GGA) results for a relaxed structure of CoTcSbOs.

The structure in CIF format:
```
data_CoTcSbOs
_chemical_formula_sum 'Co4 Tc4 Sb4 Os4'
_cell_length_a 6.2292
_cell_length_b 6.2292
_cell_length_c 6.2292
_cell_angle_alpha 90.00
_cell_angle_beta 90.00
_cell_angle_gamma 90.00
_space_group_name_H-M_alt 'F -4 3 m'
_space_group_IT_number 216
_space_group_name_Hall 'F -4 2 3'
loop_
_atom_site_label
_atom_site_type_symbol
_atom_site_fract_x
_atom_site_fract_y
_atom_site_fract_z
_atom_site_occupancy
Co1 Co 0.0000 0.0000 0.0000 1
Tc1 Tc 0.0000 0.0000 0.5000 1
Sb1 Sb 0.2500 0.2500 0.7500 1
Os1 Os 0.2500 0.2500 0.2500 1
```

=====

# 3
DFT (PBE-GGA) results for a relaxed structure of ZrCoSbOs.

The structure in CIF format:
```
data_ZrCoSbOs
_chemical_formula_sum 'Zr4 Co4 Sb4 Os4'
_cell_length_a 6.4975
_cell_length_b 6.4975
_cell_length_c 6.4975
_cell_angle_alpha 90.00
_cell_angle_beta 90.00
_cell_angle_gamma 90.00
_space_group_name_H-M_alt 'F -4 3 m'
_space_group_IT_number 216
_space_group_name_Hall 'F -4 2 3'
loop_
_atom_site_label
_atom_site_type_symbol
_atom_site_fract_x
_atom_site_fract_y
_atom_site_fract_z
_atom_site_occupancy
Zr1 Zr 0.0000 0.0000 0.0000 1
Co1 Co 0.0000 0.0000 0.5000 1
Sb1 Sb 0.2500 0.2500 0.2500 1
Os1 Os 0.2500 0.2500 0.7500 1
```

=====

# 4
DFT (PBE-GGA) results for a relaxed structure of ZrCoSbOs.

The structure in CIF format:
```
data_ZrCoSbOs
_chemical_formula_sum 'Zr4 Co4 Sb4 Os4'
_cell_length_a 6.4466
_cell_length_b 6.4466
_cell_length_c 6.4466
_cell_angle_alpha 90.00
_cell_angle_beta 90.00
_cell_angle_gamma 90.00
_space_group_name_H-M_alt 'F -4 3 m'
_space_group_IT_number 216
_space_group_name_Hall 'F -4 2 3'
loop_
_atom_site_label
_atom_site_type_symbol
_atom_site_fract_x
_atom_site_fract_y
_atom_site_fract_z
_atom_site_occupancy
Zr1 Zr 0.0000 0.0000 0.0000 1
Co1 Co 0.2500 0.2500 0.7500 1
Sb1 Sb 0.0000 0.0000 0.5000 1
Os1 Os 0.2500 0.2500 0.2500 1
```

=====

# 5
DFT (PBE-GGA) results for a relaxed structure of Sc2CoOs.

The structure in CIF format:
```
data_Sc2CoOs
_chemical_formula_sum 'Sc8 Co4 Os4'
_cell_length_a 6.3428
_cell_length_b 6.3428
_cell_length_c 6.3428
_cell_angle_alpha 90.00
_cell_angle_beta 90.00
_cell_angle_gamma 90.00
_space_group_name_H-M_alt 'F m -3 m'
_space_group_IT_number 225
_space_group_name_Hall '-F 4 2 3'
loop_
_atom_site_label
_atom_site_type_symbol
_atom_site_fract_x
_atom_site_fract_y
_atom_site_fract_z
_atom_site_occupancy
Sc1 Sc 0.2500 0.2500 0.2500 1
Co1 Co 0.0000 0.0000 0.0000 1
Os1 Os 0.0000 0.0000 0.5000 1
```

=====

# 6
DFT (PBE-GGA) results for a relaxed structure of Sc2CoOs.

The structure in CIF format:
```
data_Sc2CoOs
_chemical_formula_sum 'Sc4 Co2 Os2'
_cell_length_a 4.4884
_cell_length_b 4.4884
_cell_length_c 6.3404
_cell_angle_alpha 90.00
_cell_angle_beta 90.00
_cell_angle_gamma 90.00
_space_group_name_H-M_alt 'I 4/m m m'
_space_group_IT_number 139
_space_group_name_Hall '-I 4 2'
loop_
_atom_site_label
_atom_site_type_symbol
_atom_site_fract_x
_atom_site_fract_y
_atom_site_fract_z
_atom_site_occupancy
Sc1 Sc 0.0000 0.5000 0.2500 1
Co1 Co 0.0000 0.0000 0.0000 1
Os1 Os 0.0000 0.0000 0.5000 1
```

=====

| no. | VASP energy (eV per atom) | distance to the lowest polymorph of the same formula (eV per atom) |
| --- | --- | --- |
| 1 | -7.420 | 0.0000 |
| 2 | -7.743 | 0.0000 |
| 3 | -7.483 | 0.4330 |
| 4 | -7.916 | 0.0000 |
| 5 | -8.117 | 0.0000 |
| 6 | -8.117 | 0.0000 |